Record 1
Al2GeO after structural relaxation. Source: Alexandria, functional GGA-PBE.

abc: 4.2984 4.2984 4.2984
angles: 60.00 60.00 60.00
Positions (direct):
Ge 0.5000 0.5000 0.5000
Al 0.2500 0.2500 0.2500
Al 0.7500 0.7500 0.7500
O 0.0000 0.0000 0.0000

SG = No. 225
Energy above the lowest structure with this stoichiometry = 847 meV/atom

=====

Record 2
La3Dy2ErSb6 after structural relaxation. Source: Alexandria, functional GGA-PBE.

abc: 7.8066 7.8066 7.7761
angles: 99.63 99.63 119.99
Positions (direct):
La 0.1671 0.8329 0.5000
La 0.8329 0.1671 0.5000
La 0.5000 0.5000 0.5000
Dy 0.3336 0.6664 0.0000
Dy 0.6664 0.3336 0.0000
Er 0.0000 0.0000 0.0000
Sb 0.9216 0.5893 0.7644
Sb 0.7467 0.7467 0.2363
Sb 0.0784 0.4107 0.2356
Sb 0.5893 0.9216 0.7644
Sb 0.2533 0.2533 0.7637
Sb 0.4107 0.0784 0.2356

SG = No. 12
Electronic total energy = -5.63 eV/atom

=====

Record 3
Na2SbS4 after structural relaxation. Source: Alexandria, functional GGA-PBE.

abc: 8.2692 9.9018 9.9018
angles: 90.11 90.00 90.00
Last column: magnetic moment on the atom in μB.
Positions (direct):
Na 0.5000 0.1894 0.1894  0.00
Na 0.0000 0.1889 0.8111  0.00
Na 0.0000 0.8111 0.1889  0.00
Na 0.5000 0.8106 0.8106  0.00
Na 0.5000 0.6889 0.3111  0.00
Na 0.0000 0.6894 0.6894  0.00
Na 0.5000 0.3111 0.6889  0.00
Na 0.0000 0.3106 0.3106  0.00
Sb 0.1869 0.0000 0.5000  -0.01
Sb 0.6869 0.0000 0.5000  -0.01
Sb 0.8131 0.5000 0.0000  -0.01
Sb 0.3131 0.5000 0.0000  -0.01
S 0.1799 0.2342 0.5597  0.16
S 0.6817 0.2342 0.4406  0.16
S 0.1817 0.0594 0.2658  0.16
S 0.6799 0.0597 0.7342  0.16
S 0.6799 0.9403 0.2658  0.16
S 0.1817 0.9406 0.7342  0.16
S 0.6817 0.7658 0.5594  0.16
S 0.1799 0.7658 0.4403  0.16
S 0.3201 0.7342 0.0597  0.16
S 0.8183 0.7342 0.9406  0.16
S 0.3183 0.5594 0.7658  0.16
S 0.8201 0.5597 0.2342  0.16
S 0.8201 0.4403 0.7658  0.16
S 0.3183 0.4406 0.2342  0.16
S 0.8183 0.2658 0.0594  0.16
S 0.3201 0.2658 0.9403  0.16

SG = No. 68
Energy above the lowest structure with this stoichiometry = 222 meV/atom

=====

What total moment values result from the calculations? In sequence: 0.00, 0.00, 1.01 μB per formula unit.